(1)
{"formula": "Co2CuPt2", "functional": "PBE", "state": "optimized geometry", "cell": [[7.300, 0.000, 0.000], [0.000, 7.300, 0.000], [0.000, 0.000, 2.709]], "species": ["Co", "Co", "Co", "Co", "Cu", "Cu", "Pt", "Pt", "Pt", "Pt"], "frac_coords": [[0.165, 0.335, 0.000], [0.335, 0.835, 0.000], [0.665, 0.165, 0.000], [0.835, 0.665, 0.000], [0.000, 0.000, 0.500], [0.500, 0.500, 0.500], [0.134, 0.634, 0.500], [0.366, 0.134, 0.500], [0.634, 0.866, 0.500], [0.866, 0.366, 0.500]], "ef_ev_per_fu": 0.8, "volume_a3_per_fu": 72.2, "spacegroup": "P4/mbm", "e_above_lowest_polymorph_mev_per_atom": 35.9}

---

(2)
{"formula": "CoCu3Pt12", "functional": "PBE", "state": "optimized geometry", "cell": [[3.892, 0.000, 0.000], [0.000, 3.892, 0.000], [0.000, 0.000, 15.650]], "species": ["Co", "Cu", "Cu", "Cu", "Pt", "Pt", "Pt", "Pt", "Pt", "Pt", "Pt", "Pt", "Pt", "Pt", "Pt", "Pt"], "frac_coords": [[0.000, 0.000, 0.000], [0.000, 0.000, 0.250], [0.000, 0.000, 0.500], [0.000, 0.000, 0.750], [0.000, 0.500, 0.124], [0.000, 0.500, 0.375], [0.000, 0.500, 0.625], [0.000, 0.500, 0.876], [0.500, 0.000, 0.124], [0.500, 0.000, 0.375], [0.500, 0.000, 0.625], [0.500, 0.000, 0.876], [0.500, 0.500, 0.000], [0.500, 0.500, 0.249], [0.500, 0.500, 0.500], [0.500, 0.500, 0.751]], "ef_ev_per_fu": -1.7, "volume_a3_per_fu": 237.0, "spacegroup": "P4/mmm"}

---

(3)
{"formula": "Co2CuPt", "functional": "PBE", "state": "optimized geometry", "cell": [[4.333, 0.000, 0.000], [0.000, 4.333, 0.000], [0.000, 0.000, 2.724]], "species": ["Co", "Co", "Cu", "Pt"], "frac_coords": [[0.000, 0.500, 0.000], [0.500, 0.000, 0.000], [0.000, 0.000, 0.500], [0.500, 0.500, 0.500]], "ef_ev_per_fu": 0.5, "volume_a3_per_fu": 51.1, "spacegroup": "P4/mmm"}